# Pr2Pd5Pt5

An optimized crystal structure of Pr2Pd5Pt5 (PBE-GGA, the Alexandria database).

Lattice parameters (Å, degrees): 4.4856 5.4002 9.2992 90.00 90.00 90.00
With the nearest neighbours (Å) after each atom.
Space group Pmmm (No. 47)
Symmetry-distinct sites (fractional):
Pr 0.0000 0.0000 0.0000 [1 per cell]  6 Pd 3.09-3.11
Pr 0.0000 0.5000 0.5000 [1 per cell]  6 Pd 3.10-3.12
Pd 0.0000 0.0000 0.3321 [2 per cell]  4 Pt 2.73, 2 Pd 2.73
Pd 0.0000 0.5000 0.1667 [2 per cell]  6 Pt 2.73
Pd 0.5000 0.0000 0.5000 [1 per cell]  4 Pt 2.69, 4 Pd 2.73
Pt 0.5000 0.2489 0.2489 [4 per cell]  3 Pt 2.68-2.71, 5 Pd 2.69-2.73
Pt 0.5000 0.5000 0.0000 [1 per cell]  4 Pt 2.68, 4 Pd 2.73

Results
M_tot in Bohr magnetons per cell: 0.0
Volume in Å³/f.u.: 225.3
Energy above the most stable polymorph in this dataset in meV per atom: 0
ΔE_f in eV/atom: -0.645